Record 1
Density functional theory data (PBEsol) for La3TbP4O16 after structural relaxation.

Computed properties:
Size of the total moment ... 0.000 μB/atom
Energy relative to the elements, uncorrected ... -73.402 eV per formula unit

Structure (CIF):
```
data_La3TbP4O16
_space_group_name_H-M_alt 'P 1'
_space_group_IT_number 1
_cell_length_a 6.432
_cell_length_b 6.755
_cell_length_c 6.984
_cell_angle_alpha 89.90
_cell_angle_beta 89.28
_cell_angle_gamma 76.44
loop_
_space_group_symop_operation_xyz
'x,y,z'
loop_
_atom_site_label
_atom_site_type_symbol
_atom_site_fract_x
_atom_site_fract_y
_atom_site_fract_z
_atom_site_occupancy
La1 La 0.000 0.000 0.000 1
La2 La 0.207 0.440 0.682 1
La3 La 0.707 0.946 0.503 1
Tb1 Tb 0.519 0.512 0.192 1
P1 P 0.221 0.917 0.501 1
P2 P 0.486 0.026 0.009 1
P3 P 0.714 0.421 0.684 1
P4 P 0.996 0.526 0.176 1
O1 O 0.050 0.974 0.345 1
O2 O 0.100 0.604 0.999 1
O3 O 0.106 0.838 0.672 1
O4 O 0.176 0.474 0.325 1
O5 O 0.286 0.186 0.944 1
O6 O 0.319 0.096 0.553 1
O7 O 0.398 0.840 0.066 1
O8 O 0.417 0.745 0.443 1
O9 O 0.548 0.469 0.850 1
O10 O 0.594 0.119 0.175 1
O11 O 0.595 0.353 0.511 1
O12 O 0.658 0.972 0.850 1
O13 O 0.799 0.698 0.239 1
O14 O 0.815 0.600 0.635 1
O15 O 0.886 0.350 0.136 1
O16 O 0.908 0.244 0.730 1
```

***

Record 2
Density functional theory data (PBEsol) for La2PbO2 after structural relaxation.

Computed properties:
Size of the total moment ... 0.000 μB/atom
Energy relative to the elements, uncorrected ... -12.717 eV per formula unit

Structure (CIF):
```
data_La2PbO2
_space_group_name_H-M_alt 'I 4/m m m'
_space_group_IT_number 139
_space_group_name_Hall '-I 4 2'
_cell_length_a 3.986
_cell_length_b 3.986
_cell_length_c 14.744
_cell_angle_alpha 90.00
_cell_angle_beta 90.00
_cell_angle_gamma 90.00
loop_
_atom_site_label
_atom_site_type_symbol
_atom_site_fract_x
_atom_site_fract_y
_atom_site_fract_z
_atom_site_occupancy
La1 La 0.000 0.000 0.167 1
Pb1 Pb 0.000 0.000 0.500 1
O1 O 0.000 0.500 0.250 1
```

***

Record 3
Density functional theory data (PBEsol) for La5Pb3O after structural relaxation.

Computed properties:
Size of the total moment ... 0.000 μB/atom
Energy relative to the elements, uncorrected ... -10.525 eV per formula unit

Structure (CIF):
```
data_La5Pb3O
_space_group_name_H-M_alt 'I 4/m c m'
_space_group_IT_number 140
_space_group_name_Hall '-I 4 2c'
_cell_length_a 8.672
_cell_length_b 8.672
_cell_length_c 14.360
_cell_angle_alpha 90.00
_cell_angle_beta 90.00
_cell_angle_gamma 90.00
loop_
_atom_site_label
_atom_site_type_symbol
_atom_site_fract_x
_atom_site_fract_y
_atom_site_fract_z
_atom_site_occupancy
La1 La 0.000 0.000 0.000 1
La2 La 0.153 0.347 0.152 1
Pb1 Pb 0.000 0.000 0.250 1
Pb2 Pb 0.142 0.358 0.500 1
O1 O 0.000 0.500 0.250 1
```

***

Record 4
Density functional theory data (PBEsol) for La4PdO7 after structural relaxation.

Computed properties:
Size of the total moment ... 0.000 μB/atom
Energy relative to the elements, uncorrected ... -35.843 eV per formula unit

Structure (CIF):
```
data_La4PdO7
_space_group_name_H-M_alt 'C 1 2/m 1'
_space_group_IT_number 12
_cell_length_a 13.283
_cell_length_b 4.028
_cell_length_c 9.229
_cell_angle_alpha 90.00
_cell_angle_beta 133.10
_cell_angle_gamma 90.00
loop_
_space_group_symop_operation_xyz
'x,y,z'
'-x,-y,-z'
'-x,y,-z'
'x,-y,z'
'x+1/2,y+1/2,z'
'-x+1/2,-y+1/2,-z'
'-x+1/2,y+1/2,-z'
'x+1/2,-y+1/2,z'
loop_
_atom_site_label
_atom_site_type_symbol
_atom_site_fract_x
_atom_site_fract_y
_atom_site_fract_z
_atom_site_occupancy
La1 La 0.084 0.000 0.385 1
La2 La 0.248 0.000 0.157 1
Pd1 Pd 0.000 0.500 0.000 1
O1 O 0.000 0.000 0.000 1
O2 O 0.088 0.500 0.889 1
O3 O 0.132 0.000 0.695 1
O4 O 0.203 0.500 0.553 1
```

***

Record 5
Density functional theory data (PBEsol) for La2PdO4 after structural relaxation.

Computed properties:
Size of the total moment ... 0.000 μB/atom
Energy relative to the elements, uncorrected ... -18.318 eV per formula unit

Structure (CIF):
```
data_La2PdO4
_space_group_name_H-M_alt 'I 4/m m m'
_space_group_IT_number 139
_space_group_name_Hall '-I 4 2'
_cell_length_a 4.028
_cell_length_b 4.028
_cell_length_c 12.459
_cell_angle_alpha 90.00
_cell_angle_beta 90.00
_cell_angle_gamma 90.00
loop_
_atom_site_label
_atom_site_type_symbol
_atom_site_fract_x
_atom_site_fract_y
_atom_site_fract_z
_atom_site_occupancy
La1 La 0.000 0.000 0.150 1
Pd1 Pd 0.000 0.000 0.500 1
O1 O 0.000 0.500 0.000 1
O2 O 0.000 0.500 0.250 1
```

***

Record 6
Density functional theory data (PBEsol) for La2Pd2O5 after structural relaxation.

Computed properties:
Size of the total moment ... 0.000 μB/atom
Energy relative to the elements, uncorrected ... -20.085 eV per formula unit

Structure (CIF):
```
data_La2Pd2O5
_space_group_name_H-M_alt 'P 42/m'
_space_group_IT_number 84
_cell_length_a 6.647
_cell_length_b 6.647
_cell_length_c 5.573
_cell_angle_alpha 90.00
_cell_angle_beta 90.00
_cell_angle_gamma 90.00
loop_
_space_group_symop_operation_xyz
'x,y,z'
'-x,-y,-z'
'-y,x,z+1/2'
'y,-x,-z+1/2'
'-x,-y,z'
'x,y,-z'
'y,-x,z+1/2'
'-y,x,-z+1/2'
loop_
_atom_site_label
_atom_site_type_symbol
_atom_site_fract_x
_atom_site_fract_y
_atom_site_fract_z
_atom_site_occupancy
La1 La 0.108 0.263 0.000 1
Pd1 Pd 0.311 0.405 0.500 1
O1 O 0.000 0.000 0.250 1
O2 O 0.200 0.594 0.242 1
```

***

Record 7
Density functional theory data (PBEsol) for LaPdPtO2 after structural relaxation.

Computed properties:
Size of the total moment ... 0.252 μB/atom
Energy relative to the elements, uncorrected ... -1.099 eV per formula unit

Structure (CIF):
```
data_LaPdPtO2
_space_group_name_H-M_alt 'P 4/m m m'
_space_group_IT_number 123
_space_group_name_Hall '-P 4 2'
_cell_length_a 3.919
_cell_length_b 3.919
_cell_length_c 5.876
_cell_angle_alpha 90.00
_cell_angle_beta 90.00
_cell_angle_gamma 90.00
loop_
_atom_site_label
_atom_site_type_symbol
_atom_site_fract_x
_atom_site_fract_y
_atom_site_fract_z
_atom_site_occupancy
La1 La 0.000 0.000 0.000 1
Pd1 Pd 0.000 0.000 0.500 1
Pt1 Pt 0.500 0.500 0.000 1
O1 O 0.000 0.500 0.500 1
```

***

Record 8
Density functional theory data (PBEsol) for La3Pt3O11 after structural relaxation.

Computed properties:
Size of the total moment ... 0.000 μB/atom
Energy relative to the elements, uncorrected ... -32.839 eV per formula unit

Structure (CIF):
```
data_La3Pt3O11
_space_group_name_H-M_alt 'P n -3'
_space_group_IT_number 201
_cell_length_a 9.456
_cell_length_b 9.456
_cell_length_c 9.456
_cell_angle_alpha 90.00
_cell_angle_beta 90.00
_cell_angle_gamma 90.00
loop_
_space_group_symop_operation_xyz
'x,y,z'
'-x,-y,-z'
'-x+1/2,-y+1/2,z'
'x+1/2,y+1/2,-z'
'x,-y+1/2,-z+1/2'
'-x,y+1/2,z+1/2'
'-x+1/2,y,-z+1/2'
'x+1/2,-y,z+1/2'
'z,x,y'
'-z,-x,-y'
'z,-x+1/2,-y+1/2'
'-z,x+1/2,y+1/2'
'-z+1/2,x,-y+1/2'
'z+1/2,-x,y+1/2'
'-z+1/2,-x+1/2,y'
'z+1/2,x+1/2,-y'
'y,z,x'
'-y,-z,-x'
'-y+1/2,z,-x+1/2'
'y+1/2,-z,x+1/2'
'-y+1/2,-z+1/2,x'
'y+1/2,z+1/2,-x'
'y,-z+1/2,-x+1/2'
'-y,z+1/2,x+1/2'
loop_
_atom_site_label
_atom_site_type_symbol
_atom_site_fract_x
_atom_site_fract_y
_atom_site_fract_z
_atom_site_occupancy
La1 La 0.000 0.000 0.000 1
La2 La 0.114 0.114 0.386 1
Pt1 Pt 0.093 0.750 0.250 1
O1 O 0.039 0.082 0.747 1
O2 O 0.109 0.750 0.750 1
O3 O 0.144 0.144 0.144 1
```

***

Record 9
Density functional theory data (PBEsol) for LaTe2PtO after structural relaxation.

Computed properties:
Size of the total moment ... 0.000 μB/atom
Energy relative to the elements, uncorrected ... -0.147 eV per formula unit

Structure (CIF):
```
data_LaTe2PtO
_space_group_name_H-M_alt 'P 4/m m m'
_space_group_IT_number 123
_space_group_name_Hall '-P 4 2'
_cell_length_a 6.133
_cell_length_b 6.133
_cell_length_c 4.031
_cell_angle_alpha 90.00
_cell_angle_beta 90.00
_cell_angle_gamma 90.00
loop_
_atom_site_label
_atom_site_type_symbol
_atom_site_fract_x
_atom_site_fract_y
_atom_site_fract_z
_atom_site_occupancy
La1 La 0.000 0.000 0.000 1
Te1 Te 0.000 0.500 0.000 1
Pt1 Pt 0.500 0.500 0.500 1
O1 O 0.000 0.000 0.500 1
```

***

Record 10
Density functional theory data (PBEsol) for RbLa2Ti3O9 after structural relaxation.

Computed properties:
Size of the total moment ... 0.000 μB/atom
Energy relative to the elements, uncorrected ... -47.051 eV per formula unit

Structure (CIF):
```
data_RbLa2Ti3O9
_space_group_name_H-M_alt 'P -3 m 1'
_space_group_IT_number 164
_space_group_name_Hall '-P 3 2"'
_cell_length_a 5.5525
_cell_length_b 5.5525
_cell_length_c 6.7441
_cell_angle_alpha 90.00
_cell_angle_beta 90.00
_cell_angle_gamma 120.00
loop_
_atom_site_label
_atom_site_type_symbol
_atom_site_fract_x
_atom_site_fract_y
_atom_site_fract_z
_atom_site_occupancy
Rb1 Rb 0.0000 0.0000 0.0000 1
La1 La 0.3333 0.6667 0.6649 1
Ti1 Ti 0.0000 0.0000 0.5000 1
Ti2 Ti 0.3333 0.6667 0.1609 1
O1 O 0.0000 0.5000 0.0000 1
O2 O 0.1727 0.3455 0.3464 1
```

***

Record 11
Density functional theory data (PBEsol) for RbLaW2O8 after structural relaxation.

Computed properties:
Size of the total moment ... 0.000 μB/atom
Energy relative to the elements, uncorrected ... -30.533 eV per formula unit

Structure (CIF):
```
data_RbLaW2O8
_space_group_name_H-M_alt 'C 1 2/m 1'
_space_group_IT_number 12
_cell_length_a 10.375
_cell_length_b 10.851
_cell_length_c 7.644
_cell_angle_alpha 90.00
_cell_angle_beta 125.91
_cell_angle_gamma 90.00
loop_
_space_group_symop_operation_xyz
'x,y,z'
'-x,-y,-z'
'-x,y,-z'
'x,-y,z'
'x+1/2,y+1/2,z'
'-x+1/2,-y+1/2,-z'
'-x+1/2,y+1/2,-z'
'x+1/2,-y+1/2,z'
loop_
_atom_site_label
_atom_site_type_symbol
_atom_site_fract_x
_atom_site_fract_y
_atom_site_fract_z
_atom_site_occupancy
Rb1 Rb 0.187 0.000 0.033 1
La1 La 0.000 0.197 0.500 1
W1 W 0.000 0.337 0.000 1
W2 W 0.200 0.500 0.434 1
O1 O 0.015 0.500 0.847 1
O2 O 0.044 0.238 0.855 1
O3 O 0.080 0.000 0.404 1
O4 O 0.166 0.373 0.552 1
O5 O 0.217 0.374 0.233 1
```

***

Record 12
Density functional theory data (PBEsol) for La4Re6O19 after structural relaxation.

Computed properties:
Size of the total moment ... 0.000 μB/atom
Energy relative to the elements, uncorrected ... -65.591 eV per formula unit

Structure (CIF):
```
data_La4Re6O19
_space_group_name_H-M_alt 'I 2 3'
_space_group_IT_number 197
_space_group_name_Hall 'I 2 2 3'
_cell_length_a 9.023
_cell_length_b 9.023
_cell_length_c 9.023
_cell_angle_alpha 90.00
_cell_angle_beta 90.00
_cell_angle_gamma 90.00
loop_
_atom_site_label
_atom_site_type_symbol
_atom_site_fract_x
_atom_site_fract_y
_atom_site_fract_z
_atom_site_occupancy
La1 La 0.158 0.158 0.842 1
Re1 Re 0.000 0.133 0.500 1
O1 O 0.000 0.000 0.000 1
O2 O 0.000 0.000 0.321 1
O3 O 0.019 0.283 0.341 1
```

***

Record 13
Density functional theory data (PBEsol) for La3Re2O9 after structural relaxation.

Computed properties:
Size of the total moment ... 0.000 μB/atom
Energy relative to the elements, uncorrected ... -37.313 eV per formula unit

Structure (CIF):
```
data_La3Re2O9
_space_group_name_H-M_alt 'P -1'
_space_group_IT_number 2
_cell_length_a 5.636
_cell_length_b 6.820
_cell_length_c 11.094
_cell_angle_alpha 77.62
_cell_angle_beta 75.59
_cell_angle_gamma 69.21
loop_
_space_group_symop_operation_xyz
'x,y,z'
'-x,-y,-z'
loop_
_atom_site_label
_atom_site_type_symbol
_atom_site_fract_x
_atom_site_fract_y
_atom_site_fract_z
_atom_site_occupancy
La1 La 0.003 0.223 0.269 1
La2 La 0.226 0.162 0.883 1
La3 La 0.282 0.593 0.380 1
Re1 Re 0.356 0.124 0.571 1
Re2 Re 0.490 0.611 0.908 1
O1 O 0.065 0.116 0.712 1
O2 O 0.114 0.252 0.460 1
O3 O 0.144 0.812 0.935 1
O4 O 0.177 0.511 0.190 1
O5 O 0.302 0.420 0.590 1
O6 O 0.359 0.478 0.815 1
O7 O 0.374 0.820 0.578 1
O8 O 0.388 0.168 0.074 1
O9 O 0.412 0.939 0.314 1
```

***

Record 14
Density functional theory data (PBEsol) for La3RhO after structural relaxation.

Computed properties:
Size of the total moment ... 0.000 μB/atom
Energy relative to the elements, uncorrected ... -5.942 eV per formula unit

Structure (CIF):
```
data_La3RhO
_space_group_name_H-M_alt 'P m -3 m'
_space_group_IT_number 221
_space_group_name_Hall '-P 4 2 3'
_cell_length_a 4.865
_cell_length_b 4.865
_cell_length_c 4.865
_cell_angle_alpha 90.00
_cell_angle_beta 90.00
_cell_angle_gamma 90.00
loop_
_atom_site_label
_atom_site_type_symbol
_atom_site_fract_x
_atom_site_fract_y
_atom_site_fract_z
_atom_site_occupancy
La1 La 0.000 0.000 0.500 1
Rh1 Rh 0.500 0.500 0.500 1
O1 O 0.000 0.000 0.000 1
```

***

Record 15
Density functional theory data (PBEsol) for La2ZnRhO6 after structural relaxation.

Computed properties:
Size of the total moment ... 0.102 μB/atom
Energy relative to the elements, uncorrected ... -23.007 eV per formula unit

Structure (CIF):
```
data_La2ZnRhO6
_space_group_name_H-M_alt 'P 1 21/c 1'
_space_group_IT_number 14
_cell_length_a 5.513
_cell_length_b 5.673
_cell_length_c 9.576
_cell_angle_alpha 90.00
_cell_angle_beta 125.09
_cell_angle_gamma 90.00
loop_
_space_group_symop_operation_xyz
'x,y,z'
'-x,-y,-z'
'-x,y+1/2,-z+1/2'
'x,-y+1/2,z+1/2'
loop_
_atom_site_label
_atom_site_type_symbol
_atom_site_fract_x
_atom_site_fract_y
_atom_site_fract_z
_atom_site_occupancy
La1 La 0.238 0.054 0.250 1
Zn1 Zn 0.500 0.000 0.000 1
Rh1 Rh 0.000 0.000 0.500 1
O1 O 0.148 0.211 0.952 1
O2 O 0.246 0.700 0.954 1
O3 O 0.334 0.022 0.746 1
```